VASP calculation (PBE+U) on a relaxed structure of LiNiAgF6.

Summary:
- E_tot (eV per atom) = -3.86
- density (g/cm3) = 4.52

a = 5.1528 Å, b = 5.1528 Å, c = 9.1942 Å
α = 90.00°, β = 90.00°, γ = 120.00°
Space group P-31c (No. 163)
Symmetry-distinct sites (fractional):
Li 0.3333 0.6667 0.2500 [2 per cell]
Ni 0.3333 0.6667 0.7500 [2 per cell]
Ag 0.0000 0.0000 0.0000 [2 per cell]
F 0.0000 0.3442 0.1308 [12 per cell]